Entry from the Alexandria database: an optimized crystal structure of LiGaN2F (PBE).

Computed properties:
E above lowest polymorph (meV per atom): 0.0
Calculated total energy (eV/cell): -22.981
Energy relative to the elements, uncorrected (eV/atom): 0.096
Theoretical density (kg/m3): 3257

a b c (Å): 3.8794 3.8794 4.1901
angles (deg): 90.00 90.00 90.00
With the nearest neighbours (Å) after each atom.
Atoms (fractional coordinates):
N1 0.0000 0.5000 0.0000  2 Ga 1.94
N2 0.5000 0.0000 0.0000  2 Ga 1.94
Li1 0.5000 0.5000 0.5000  4 F 2.74, 8 N 2.86
Ga1 0.0000 0.0000 0.0000  4 N 1.94, 2 F 2.10
F1 0.0000 0.0000 0.5000  2 Ga 2.10


Entry from the Alexandria database: an optimized crystal structure of NaLiGaF6 (PBE).

Computed properties:
Calculated total energy (eV/cell): -78.347
Energy relative to the elements, uncorrected (eV/atom): -2.410
Theoretical density (kg/m3): 3119

a b c (Å): 4.8836 4.8836 9.5382
angles (deg): 90.00 90.00 90.00
With the nearest neighbours (Å) after each atom.
Atoms (fractional coordinates):
Na1 0.5000 0.5000 0.1693  6 F 2.23-2.34
Na2 0.0000 0.0000 0.6693  6 F 2.23-2.34
Li1 0.5000 0.5000 0.5005  6 F 2.09-2.10
Li2 0.0000 0.0000 0.0005  6 F 2.09-2.10
Ga1 0.5000 0.5000 0.8304  6 F 1.90-1.93
Ga2 0.0000 0.0000 0.3304  6 F 1.90-1.93
F1 0.2002 0.7998 0.4717  1 Ga 1.93, 1 Li 2.09
F2 0.7998 0.2002 0.4717  1 Ga 1.93, 1 Li 2.09
F3 0.2998 0.2998 0.9717  1 Ga 1.93, 1 Li 2.09
F4 0.7002 0.7002 0.9717  1 Ga 1.93, 1 Li 2.09
F5 0.1777 0.8223 0.1778  1 Ga 1.90, 1 Li 2.09
F6 0.8223 0.1777 0.1778  1 Ga 1.90, 1 Li 2.09
F7 0.3223 0.3223 0.6778  1 Ga 1.90, 1 Li 2.09
F8 0.6777 0.6777 0.6778  1 Ga 1.90, 1 Li 2.09
F9 0.7775 0.2225 0.8503  1 Ga 1.93, 1 Li 2.10
F10 0.2225 0.7775 0.8503  1 Ga 1.93, 1 Li 2.10
F11 0.7225 0.7225 0.3503  1 Ga 1.93, 1 Li 2.10
F12 0.2775 0.2775 0.3503  1 Ga 1.93, 1 Li 2.10


Entry from the Alexandria database: an optimized crystal structure of NaLi2GaF8 (PBE).

Computed properties:
Calculated total energy (eV/cell): -49.374
Energy relative to the elements, uncorrected (eV/atom): -2.186
Theoretical density (kg/m3): 2805

a b c (Å): 5.8604 5.8604 5.8604
angles (deg): 113.25 113.25 102.15
With the nearest neighbours (Å) after each atom.
Atoms (fractional coordinates):
Na1 0.2500 0.7500 0.5000  4 F 2.26
Li1 0.7500 0.2500 0.5000  4 F 2.00
Li2 0.5000 0.5000 0.0000  4 F 1.84
Ga1 0.0000 0.0000 0.0000  4 F 1.89
F1 0.3389 0.0527 0.2862  1 Ga 1.89, 1 Li 2.00
F2 0.2891 0.4419 0.1528  1 Li 1.84, 1 F 1.97
F3 0.2891 0.1363 0.8472  1 Li 1.84, 1 F 1.97
F4 0.7665 0.0527 0.7138  1 Ga 1.89, 1 Li 2.00
F5 0.8637 0.7109 0.1528  1 Li 1.84, 1 F 1.97
F6 0.9473 0.2335 0.2862  1 Ga 1.89, 1 Li 2.00
F7 0.9473 0.6611 0.7138  1 Ga 1.89, 1 Li 2.00
F8 0.5581 0.7109 0.8472  1 Li 1.84, 1 F 1.97


Entry from the Alexandria database: an optimized crystal structure of Na2LiGaF6 (PBE).

Computed properties:
E above lowest polymorph (meV per atom): 0.0
Calculated total energy (eV/cell): -93.718
Energy relative to the elements, uncorrected (eV/atom): -2.805
Theoretical density (kg/m3): 3409

a b c (Å): 5.3988 5.5526 7.6911
angles (deg): 90.00 89.59 90.00
With the nearest neighbours (Å) after each atom.
Atoms (fractional coordinates):
Na1 0.0135 0.9481 0.2514  6 F 2.32-2.58
Na2 0.5135 0.5519 0.7514  6 F 2.32-2.58
Na3 0.9865 0.0519 0.7486  6 F 2.32-2.58
Na4 0.4865 0.4481 0.2486  6 F 2.32-2.58
Li1 0.5000 0.0000 0.0000  6 F 2.06-2.09
Li2 0.0000 0.5000 0.5000  6 F 2.06-2.09
Ga1 0.5000 0.0000 0.5000  6 F 1.92-1.93
Ga2 0.0000 0.5000 0.0000  6 F 1.92-1.93
F1 0.2873 0.6951 0.0453  1 Ga 1.93, 1 Li 2.07
F2 0.7873 0.8049 0.5453  1 Ga 1.93, 1 Li 2.07
F3 0.7127 0.3049 0.9547  1 Ga 1.93, 1 Li 2.07
F4 0.2127 0.1951 0.4547  1 Ga 1.93, 1 Li 2.07
F5 0.3094 0.7151 0.4497  1 Ga 1.93, 1 Li 2.09
F6 0.8094 0.7849 0.9497  1 Ga 1.93, 1 Li 2.09
F7 0.6906 0.2849 0.5503  1 Ga 1.93, 1 Li 2.09
F8 0.1906 0.2151 0.0503  1 Ga 1.93, 1 Li 2.09
F9 0.9077 0.5293 0.2411  1 Ga 1.92, 1 Li 2.06
F10 0.4077 0.9707 0.7411  1 Ga 1.92, 1 Li 2.06
F11 0.0923 0.4707 0.7589  1 Ga 1.92, 1 Li 2.06
F12 0.5923 0.0293 0.2589  1 Ga 1.92, 1 Li 2.06


Entry from the Alexandria database: an optimized crystal structure of Na3Li2GaF9 (PBE).

Computed properties:
Calculated total energy (eV/cell): -66.172
Energy relative to the elements, uncorrected (eV/atom): -2.568
Theoretical density (kg/m3): 3024

a b c (Å): 5.4434 5.4434 6.9235
angles (deg): 90.00 90.00 120.00
With the nearest neighbours (Å) after each atom.
Atoms (fractional coordinates):
Na1 0.3333 0.6667 0.7132  9 F 2.53-2.74
Na2 0.0000 0.0000 0.0000  12 F 2.72-2.79
Na3 0.6667 0.3333 0.2868  9 F 2.53-2.74
Li1 0.3333 0.6667 0.1798  6 F 1.94-2.00
Li2 0.6667 0.3333 0.8202  6 F 1.94-2.00
Ga1 0.0000 0.0000 0.5000  6 F 1.90
F1 0.8379 0.1621 0.6636  1 Ga 1.90, 1 Li 1.94
F2 0.8379 0.6758 0.6636  1 Ga 1.90, 1 Li 1.94
F3 0.3242 0.1621 0.6636  1 Ga 1.90, 1 Li 1.94
F4 0.6758 0.8379 0.3364  1 Ga 1.90, 1 Li 1.94
F5 0.1621 0.3242 0.3364  1 Ga 1.90, 1 Li 1.94
F6 0.1621 0.8379 0.3364  1 Ga 1.90, 1 Li 1.94
F7 0.5000 0.0000 0.0000  2 Li 2.00
F8 0.0000 0.5000 0.0000  2 Li 2.00
F9 0.5000 0.5000 0.0000  2 Li 2.00


Entry from the Alexandria database: an optimized crystal structure of Na2LiGaF6 (PBE).

Computed properties:
E above lowest polymorph (meV per atom): 38.3
Calculated total energy (eV/cell): -46.476
Energy relative to the elements, uncorrected (eV/atom): -2.767
Theoretical density (kg/m3): 3306

a b c (Å): 5.5187 5.5187 5.5187
angles (deg): 60.00 60.00 60.00
With the nearest neighbours (Å) after each atom.
Atoms (fractional coordinates):
Na1 0.2500 0.2500 0.2500  12 F 2.76
Na2 0.7500 0.7500 0.7500  12 F 2.76
Li1 0.5000 0.5000 0.5000  6 F 2.00
Ga1 0.0000 0.0000 0.0000  6 F 1.91
F1 0.2444 0.2444 0.7556  1 Ga 1.91, 1 Li 2.00
F2 0.2444 0.7556 0.7556  1 Ga 1.91, 1 Li 2.00
F3 0.7556 0.7556 0.2444  1 Ga 1.91, 1 Li 2.00
F4 0.2444 0.7556 0.2444  1 Ga 1.91, 1 Li 2.00
F5 0.7556 0.2444 0.7556  1 Ga 1.91, 1 Li 2.00
F6 0.7556 0.2444 0.2444  1 Ga 1.91, 1 Li 2.00